No. 1
A plane-wave DFT calculation with PBE-GGA was carried out for crystalline ZrNp2TiP4 at its relaxed geometry.

## Properties
The energy is -72.5 eV/f.u. As for the space group: No. 10.

Cell: 6.516 3.781 6.610 Å, 90.00 109.31 90.00°
Fractional positions:
Zr 0.000 0.000 0.000
Np 0.500 0.000 0.500
Np 0.500 0.500 0.000
Ti 0.000 0.500 0.500
P 0.228 0.000 0.735
P 0.234 0.500 0.253
P 0.766 0.500 0.747
P 0.772 0.000 0.265

=====

No. 2
A plane-wave DFT calculation with PBE-GGA was carried out for crystalline NpTlP2 at its relaxed geometry.

## Properties
The energy is -26.9 eV/f.u. As for the space group: No. 166.

Cell: 4.060 4.060 21.916 Å, 90.00 90.00 120.00°
Fractional positions:
Np 0.000 0.000 0.000
Np 0.333 0.667 0.667
Np 0.667 0.333 0.333
Tl 0.000 0.000 0.500
Tl 0.333 0.667 0.167
Tl 0.667 0.333 0.833
P 0.000 0.000 0.273
P 0.000 0.000 0.727
P 0.333 0.667 0.394
P 0.333 0.667 0.939
P 0.667 0.333 0.061
P 0.667 0.333 0.606

=====

No. 3
A plane-wave DFT calculation with PBE-GGA was carried out for crystalline NpTlP2 at its relaxed geometry.

## Properties
The energy is -27.0 eV/f.u. As for the space group: No. 160.

Cell: 4.152 4.152 19.496 Å, 90.00 90.00 120.00°
Fractional positions:
Np 0.000 0.000 0.000
Np 0.333 0.667 0.667
Np 0.667 0.333 0.333
Tl 0.000 0.000 0.171
Tl 0.333 0.667 0.837
Tl 0.667 0.333 0.504
P 0.000 0.000 0.392
P 0.000 0.000 0.597
P 0.333 0.667 0.059
P 0.333 0.667 0.264
P 0.667 0.333 0.726
P 0.667 0.333 0.930

=====

No. 4
A plane-wave DFT calculation with PBE-GGA was carried out for crystalline NpTlP at its relaxed geometry.

## Properties
The energy is -21.5 eV/f.u. As for the space group: No. 12.

Cell: 5.154 5.158 10.813 Å, 90.00 102.53 90.00°
Fractional positions:
Np 0.199 0.000 0.077
Np 0.301 0.500 0.923
Np 0.699 0.500 0.077
Np 0.801 0.000 0.923
Tl 0.190 0.000 0.385
Tl 0.310 0.500 0.615
Tl 0.690 0.500 0.385
Tl 0.810 0.000 0.615
P 0.231 0.500 0.173
P 0.269 0.000 0.827
P 0.731 0.000 0.173
P 0.769 0.500 0.827

=====

No. 5
A plane-wave DFT calculation with PBE-GGA was carried out for crystalline Tm5NpP6 at its relaxed geometry.

## Properties
The energy is -85.5 eV/f.u. As for the space group: No. 12.

Cell: 6.833 6.833 6.832 Å, 99.59 99.59 120.01°
Fractional positions:
Tm 0.000 0.000 0.000
Tm 0.166 0.834 0.500
Tm 0.332 0.668 0.000
Tm 0.668 0.332 0.000
Tm 0.834 0.166 0.500
Np 0.500 0.500 0.500
P 0.086 0.417 0.251
P 0.252 0.252 0.748
P 0.417 0.086 0.251
P 0.583 0.914 0.749
P 0.748 0.748 0.252
P 0.914 0.583 0.749

=====

No. 6
A plane-wave DFT calculation with PBE-GGA was carried out for crystalline Tm2NpP3 at its relaxed geometry.

## Properties
The energy is -46.2 eV/f.u. As for the space group: No. 139.

Cell: 3.950 3.950 16.715 Å, 90.00 90.00 90.00°
Fractional positions:
Tm 0.000 0.000 0.168
Tm 0.000 0.000 0.832
Tm 0.500 0.500 0.332
Tm 0.500 0.500 0.668
Np 0.000 0.000 0.500
Np 0.500 0.500 0.000
P 0.000 0.000 0.000
P 0.000 0.000 0.334
P 0.000 0.000 0.666
P 0.500 0.500 0.166
P 0.500 0.500 0.500
P 0.500 0.500 0.834

=====

No. 7
A plane-wave DFT calculation with PBE-GGA was carried out for crystalline TmNp5P6 at its relaxed geometry.

## Properties
The energy is -113.1 eV/f.u. As for the space group: No. 12.

Cell: 6.837 6.837 6.818 Å, 99.60 99.60 119.75°
Fractional positions:
Tm 0.000 0.000 0.000
Np 0.166 0.834 0.500
Np 0.334 0.666 0.000
Np 0.500 0.500 0.500
Np 0.666 0.334 0.000
Np 0.834 0.166 0.500
P 0.083 0.418 0.250
P 0.250 0.250 0.750
P 0.418 0.083 0.250
P 0.582 0.917 0.750
P 0.750 0.750 0.250
P 0.917 0.582 0.750

=====

No. 8
A plane-wave DFT calculation with PBE-GGA was carried out for crystalline TmNp3P4 at its relaxed geometry.

## Properties
The energy is -73.4 eV/f.u. As for the space group: No. 65.

Cell: 7.911 11.176 3.953 Å, 90.00 90.00 90.00°
Fractional positions:
Tm 0.000 0.000 0.000
Tm 0.500 0.500 0.000
Np 0.000 0.500 0.000
Np 0.250 0.250 0.500
Np 0.250 0.750 0.500
Np 0.500 0.000 0.000
Np 0.750 0.250 0.500
Np 0.750 0.750 0.500
P 0.000 0.250 0.000
P 0.000 0.750 0.000
P 0.249 0.500 0.500
P 0.251 0.000 0.500
P 0.500 0.250 0.000
P 0.500 0.750 0.000
P 0.749 0.000 0.500
P 0.751 0.500 0.500